Computed, not measured: a relaxed structure of DyUPd14 at the PBE level of DFT.

## Properties
Space group: P4/mmm
Formation enthalpy at 0 K (meV per atom): -393.7

Unit cell a=5.802 b=5.802 c=7.811 alpha=90.00 beta=90.00 gamma=90.00
Element x y z (fractional)
U 0.875 0.875 0.500
Dy 0.375 0.375 0.500
Pd 0.630 0.120 0.248
Pd 0.120 0.120 0.248
Pd 0.120 0.630 0.752
Pd 0.875 0.375 0.500
Pd 0.375 0.875 0.000
Pd 0.375 0.375 0.000
Pd 0.120 0.120 0.752
Pd 0.375 0.875 0.500
Pd 0.120 0.630 0.248
Pd 0.875 0.875 0.000
Pd 0.630 0.630 0.752
Pd 0.630 0.630 0.248
Pd 0.630 0.120 0.752
Pd 0.875 0.375 0.000

Computed, not measured: a relaxed structure of Ac3MgZn2O8 at the PBE level of DFT.

## Properties
Total DFT energy (no corrections) (eV per formula unit): -89.88
Space group: P-3m1

Unit cell a=5.657 b=5.657 c=7.332 alpha=90.00 beta=90.00 gamma=120.00
Element x y z (fractional)
O 0.679 0.839 0.322
Mg 0.000 0.000 0.500
Zn 0.333 0.667 0.191
O 0.839 0.161 0.678
Zn 0.667 0.333 0.809
Ac 0.667 0.333 0.367
Ac 0.000 0.000 0.000
O 0.161 0.321 0.322
O 0.161 0.839 0.322
Ac 0.333 0.667 0.633
O 0.321 0.161 0.678
O 0.333 0.667 0.939
O 0.839 0.679 0.678
O 0.667 0.333 0.061

Computed, not measured: a relaxed structure of PuTlH at the PBE level of DFT.

## Properties
Total DFT energy (no corrections) (eV per formula unit): -20.08
Space group: I4mm

Unit cell a=3.188 b=3.188 c=6.356 alpha=104.52 beta=104.52 gamma=90.00
Element x y z (fractional)
Pu 0.730 0.730 0.461
H 0.267 0.267 0.534
Tl 0.003 0.003 0.005